Computed, not measured: a relaxed VPbI2O crystal at the PBE with a Hubbard U level of DFT.

Lattice parameters (Å, degrees): 5.9798 5.9798 4.2336 90.00 90.00 90.00
Closest atoms and distances in Å follow each position.
Atoms (fractional coordinates):
Pb 0.0000 0.0000 0.0000  2 O 2.12
I 0.0000 0.5000 0.0000  2 Pb 2.99
I 0.5000 0.0000 0.0000  2 Pb 2.99
O 0.0000 0.0000 0.5000  2 Pb 2.12
V 0.5000 0.5000 0.5000  8 I 3.66

V	30.3	A^3/atom
E	-18.20	eV for the cell shown